Entry 1:
Here is crystalline Te2PdSe4 at its relaxed geometry from Alexandria via LeMat-Bulk. Energies are from GGA-PBE.

Unit cell a=8.8255 b=11.2392 c=3.9365 alpha=90.00 beta=90.00 gamma=90.00
Fractional coordinates of all 14 atoms:
Te 0.2469 0.2485 0.0000
Te 0.2531 0.7485 0.0000
Te 0.7469 0.2515 0.0000
Te 0.7531 0.7515 0.0000
Pd 0.0000 0.5000 0.5000
Pd 0.5000 0.0000 0.5000
Se 0.0030 0.7313 0.5000
Se 0.1966 0.4985 0.0000
Se 0.3034 0.9985 0.0000
Se 0.4970 0.2313 0.5000
Se 0.5030 0.7687 0.5000
Se 0.6966 0.0015 0.0000
Se 0.8034 0.5015 0.0000
Se 0.9970 0.2687 0.5000

Calculated values
Space group: No. 55
Formation energy (no corrections): -77 meV/atom
Size of the total moment: 0.000 μB/atom

---

Entry 2:
Here is crystalline InH5NOF4 at its relaxed geometry from Alexandria via LeMat-Bulk. Energies are from GGA-PBE.

Unit cell a=5.8774 b=6.3069 c=6.8662 alpha=69.24 beta=88.06 gamma=79.78
Fractional coordinates of all 24 atoms:
In 0.0603 0.4130 0.2774
In 0.9397 0.5870 0.7226
H 0.2688 0.8666 0.5493
H 0.2932 0.0902 0.8679
H 0.3874 0.8057 0.0244
H 0.4011 0.6151 0.7095
H 0.4514 0.0588 0.1881
H 0.5486 0.9412 0.8119
H 0.5989 0.3849 0.2905
H 0.6126 0.1943 0.9756
H 0.7068 0.9098 0.1321
H 0.7312 0.1334 0.4507
N 0.4372 0.9632 0.9326
N 0.5628 0.0368 0.0674
O 0.2543 0.7315 0.6815
O 0.7457 0.2685 0.3185
F 0.1145 0.3080 0.6159
F 0.1194 0.3178 0.9919
F 0.2851 0.0802 0.3628
F 0.3607 0.5647 0.2139
F 0.6393 0.4353 0.7861
F 0.7149 0.9198 0.6372
F 0.8806 0.6822 0.0081
F 0.8855 0.6920 0.3841

Calculated values
Space group: No. 2
Final energy: -4.838 eV/atom
Size of the total moment: 0.006 μB/atom

---

Entry 3:
Here is crystalline TlAgIN2 at its relaxed geometry from Alexandria via LeMat-Bulk. Energies are from GGA-PBE.

Unit cell a=4.3318 b=4.3318 c=7.3335 alpha=90.00 beta=90.00 gamma=90.00
Fractional coordinates of all 5 atoms:
Tl 0.0000 0.0000 0.0000
Ag 0.5000 0.5000 0.5000
I 0.0000 0.0000 0.5000
N 0.0000 0.5000 0.0000
N 0.5000 0.0000 0.0000

Calculated values
Space group: No. 123
Distance to the lowest polymorph of the same formula: 119 meV/atom
Formation energy (no corrections): 1635 meV/atom
Size of the total moment: 0.577 μB/atom

---

Entry 4:
Here is crystalline Dy6CdIn5 at its relaxed geometry from Alexandria via LeMat-Bulk. Energies are from GGA-PBE.

Unit cell a=5.3334 b=7.4334 c=8.4277 alpha=90.00 beta=108.17 gamma=90.00
Fractional coordinates of all 12 atoms:
Dy 0.0000 0.2496 0.0000
Dy 0.0000 0.7504 0.0000
Dy 0.3338 0.2487 0.6668
Dy 0.3338 0.7513 0.6668
Dy 0.6662 0.2487 0.3332
Dy 0.6662 0.7513 0.3332
Cd 0.5000 0.0000 0.0000
In 0.1637 0.0000 0.3280
In 0.1663 0.5000 0.3337
In 0.5000 0.5000 0.0000
In 0.8337 0.5000 0.6663
In 0.8363 0.0000 0.6720

Calculated values
Space group: No. 10
DFT formation energy: -0.45 eV per atom
Distance to the lowest polymorph of the same formula: 0 meV/atom
Size of the total moment: 0.000 μB/atom

---

Entry 5:
Here is crystalline Ca2AlW at its relaxed geometry from Alexandria via LeMat-Bulk. Energies are from GGA-PBE.

Unit cell a=6.4757 b=6.4757 c=6.4757 alpha=101.25 beta=101.25 gamma=127.56
Fractional coordinates of all 8 atoms:
Ca 0.1210 0.6250 0.9960
Ca 0.3750 0.3710 0.4960
Ca 0.6290 0.1250 0.0040
Ca 0.8750 0.8790 0.5040
Al 0.0000 0.0000 0.0000
Al 0.7500 0.2500 0.5000
W 0.2500 0.7500 0.5000
W 0.5000 0.5000 0.0000

Calculated values
Space group: No. 122
DFT formation energy: 1.01 eV per atom
Size of the total moment: 0.420 μB/atom

---

Entry 6:
Here is crystalline Sn3BiRh at its relaxed geometry from Alexandria via LeMat-Bulk. Energies are from GGA-PBE.

Unit cell a=5.7585 b=5.7585 c=5.7585 alpha=90.00 beta=90.00 gamma=90.00
Fractional coordinates of all 5 atoms:
Sn 0.0000 0.0000 0.5000
Sn 0.0000 0.5000 0.0000
Sn 0.5000 0.0000 0.0000
Bi 0.0000 0.0000 0.0000
Rh 0.5000 0.5000 0.5000

Calculated values
Space group: No. 221
DFT formation energy: 1.39 eV per atom
Distance to the lowest polymorph of the same formula: 1448 meV/atom
Size of the total moment: 0.000 μB/atom